Record 1
12
Lattice="-5.501 -2.878 -0.490 5.110 -3.272 1.400 -1.835 3.865 11.104" Properties=species:S:1:pos:R:3 comment="Tb6CeNd3Y2, optimized geometry, DFT PBE-GGA" mass_density_g_cm3=7.19 magmom_total_mub_per_fu=1.191 e_form_ev_per_atom=0.036 pbc="T T T"
Tb -3.429 -1.651 8.734
Tb -1.478 1.383 8.584
Tb -0.747 -3.667 3.430
Tb 1.203 -0.634 3.281
Tb -2.303 -0.504 2.656
Tb 0.078 -1.781 9.358
Nd -4.641 -1.011 5.379
Nd 2.416 -1.273 6.636
Nd -1.113 -1.142 6.007
Ce 0.000 0.000 0.000
Y 1.573 -3.140 0.770
Y -1.963 -3.009 0.140

Record 2
8
Lattice="5.050 0.000 -0.979 -0.190 5.046 -0.979 -0.457 -0.474 11.154" Properties=species:S:1:pos:R:3 comment="Ca2Nd5Sc, optimized geometry, DFT PBE-GGA" mass_density_g_cm3=5.03 magmom_total_mub_per_fu=0.000 e_form_ev_per_atom=0.058 pbc="T T T"
Nd 2.430 2.523 -0.979
Nd 2.982 0.474 1.865
Nd 4.041 1.574 7.330
Nd 0.362 2.997 1.865
Nd 1.421 4.098 7.330
Ca 0.989 1.027 5.100
Ca 3.414 3.545 4.095
Sc 0.000 0.000 0.000